[1]
Density functional theory data (PBE) for a relaxed structure of Dy3CuSi4.

The space group is Immm (No. 71) and the conventional cell measures 4.2798, 5.5966 and 14.4883 Å, with angles of 90.00, 90.00 and 90.00 degrees. The distinct sites, in fractional coordinates, are Dy at (0.0000, 0.0000, 0.0000), Dy at (0.0000, 0.5000, 0.1939), Cu at (0.0000, 0.0000, 0.5000) and Si at (0.0000, 0.2874, 0.3814).

---

[2]
Density functional theory data (PBE) for a relaxed structure of DyCu11Si.

The space group is C2/m (No. 12) and the conventional cell measures 4.7914, 11.9652 and 6.4491 Å, with angles of 90.00, 110.61 and 90.00 degrees. The distinct sites, in fractional coordinates, are Dy at (0.0000, 0.0000, 0.0000), Cu at (0.0000, 0.0000, 0.5000), Cu at (0.1032, 0.3898, 0.2224), Cu at (0.1703, 0.1774, 0.3540), Cu at (0.2500, 0.2500, 0.0000) and Si at (0.0000, 0.5000, 0.5000).

---

[3]
Density functional theory data (PBE) for a relaxed structure of Dy3Cu4Si4.

The space group is Immm (No. 71) and the conventional cell measures 4.1401, 6.5427 and 13.7137 Å, with angles of 90.00, 90.00 and 90.00 degrees. The distinct sites, in fractional coordinates, are Dy at (0.0000, 0.0000, 0.0000), Dy at (0.0000, 0.5000, 0.1296), Cu at (0.0000, 0.3096, 0.3316), Si at (0.0000, 0.0000, 0.2164) and Si at (0.0000, 0.1845, 0.5000).

---

[4]
Density functional theory data (PBE) for a relaxed structure of SmDyCu2Si2.

The space group is P-3m1 (No. 164) and the conventional cell measures 4.1776, 4.1776 and 7.5841 Å, with angles of 90.00, 90.00 and 120.00 degrees. The distinct sites, in fractional coordinates, are Sm at (0.0000, 0.0000, 0.0000), Dy at (0.0000, 0.0000, 0.5000), Cu at (0.3333, 0.6667, 0.7394) and Si at (0.3333, 0.6667, 0.2566).

---

[5]
Density functional theory data (PBE) for a relaxed structure of SmDy2Cu2Si2.

The space group is R-3m (No. 166, hexagonal axes) and the conventional cell measures 4.0942, 4.0942 and 32.2612 Å, with angles of 90.00, 90.00 and 120.00 degrees. The distinct sites, in fractional coordinates, are Sm at (0.0000, 0.0000, 0.0000), Dy at (0.0000, 0.0000, 0.1199), Cu at (0.0000, 0.0000, 0.3970) and Si at (0.0000, 0.0000, 0.2705).

---

[6]
Density functional theory data (PBE) for a relaxed structure of TbDy2Cu2Si2.

The space group is R-3m (No. 166, hexagonal axes) and the conventional cell measures 4.0805, 4.0805 and 31.8769 Å, with angles of 90.00, 90.00 and 120.00 degrees. The distinct sites, in fractional coordinates, are Tb at (0.0000, 0.0000, 0.0000), Dy at (0.0000, 0.0000, 0.1196), Cu at (0.0000, 0.0000, 0.3953) and Si at (0.0000, 0.0000, 0.2718).

---

[7]
Density functional theory data (PBE) for a relaxed structure of TbDyCuSi.

The space group is Amm2 (No. 38) and the conventional cell measures 4.0879, 4.0684 and 10.7023 Å, with angles of 90.00, 90.00 and 90.00 degrees. The distinct sites, in fractional coordinates, are Tb at (0.0000, 0.0000, 0.0000), Dy at (0.5000, 0.0000, 0.2803), Cu at (0.5000, 0.0000, 0.5757) and Si at (0.0000, 0.0000, 0.7133).

The calculation puts the energy relative to the lowest polymorph listed for this composition at 0 meV/atom.

---

[8]
Density functional theory data (PBE) for a relaxed structure of TbDyCu2Si2.

The space group is P-3m1 (No. 164) and the conventional cell measures 4.1619, 4.1619 and 7.4713 Å, with angles of 90.00, 90.00 and 120.00 degrees. The distinct sites, in fractional coordinates, are Tb at (0.0000, 0.0000, 0.0000), Dy at (0.0000, 0.0000, 0.5000), Cu at (0.3333, 0.6667, 0.7477) and Si at (0.3333, 0.6667, 0.2514).

---

[9]
Density functional theory data (PBE) for a relaxed structure of Tb2DyCu2Si2.

The space group is R-3m (No. 166, hexagonal axes) and the conventional cell measures 4.0861, 4.0861 and 31.8322 Å, with angles of 90.00, 90.00 and 120.00 degrees. The distinct sites, in fractional coordinates, are Tb at (0.0000, 0.0000, 0.1194), Dy at (0.0000, 0.0000, 0.0000), Cu at (0.0000, 0.0000, 0.3942) and Si at (0.0000, 0.0000, 0.2724).

---

[10]
Density functional theory data (PBE) for a relaxed structure of TbDyCuSi.

The space group is F-43m (No. 216) and the conventional cell measures 6.9887, 6.9887 and 6.9887 Å, with angles of 90.00, 90.00 and 90.00 degrees. The distinct sites, in fractional coordinates, are Tb at (0.0000, 0.0000, 0.0000), Dy at (0.0000, 0.0000, 0.5000), Cu at (0.2500, 0.2500, 0.7500) and Si at (0.2500, 0.2500, 0.2500).

The calculation puts the energy relative to the lowest polymorph listed for this composition at 100 meV/atom.

---

[11]
Density functional theory data (PBE) for a relaxed structure of DyThCuSi.

The space group is F-43m (No. 216) and the conventional cell measures 7.0945, 7.0945 and 7.0945 Å, with angles of 90.00, 90.00 and 90.00 degrees. The distinct sites, in fractional coordinates, are Dy at (0.0000, 0.0000, 0.0000), Th at (0.0000, 0.0000, 0.5000), Cu at (0.2500, 0.2500, 0.7500) and Si at (0.2500, 0.2500, 0.2500).

---

In the order shown, the computed total moment values come out to 0.000; 0.000; 0.000; 0.000; 0.011; 0.003; 0.003; 0.000; 0.000; 0.000; 0.000 μB per cell.
In the order shown, the computed ΔE_f (raw) values come out to -4.10; -1.85; -7.06; -3.95; -3.44; -3.53; -2.11; -4.03; -3.55; -1.72; -1.33 eV per formula unit.
In the order shown, the computed Fermi-level density of states values come out to 0.36; 0.35; 0.24; 0.29; 0.94; 0.87; 0.81; 0.24; 0.80; 0.72; 0.82 states/eV per atom.